ThAsPdSe GGA-PBE optimized geometry; space group = P4/nmm, No. 129; formation energy (no corrections) = -1.07 eV/atom; magnetic moment = 0.0 μB/cell; E = -6.26 eV/atom
1.0
4.616 0.000 0.000
0.000 4.616 0.000
0.000 0.000 8.353
Pd Se Th As
2 2 2 2
Direct
0.500 0.500 0.000
0.000 0.000 0.000
0.500 0.500 0.500
0.000 0.000 0.500
0.000 0.500 0.280
0.500 0.000 0.720
0.000 0.500 0.855
0.500 0.000 0.145

Th4AsPdSe2 GGA-PBE optimized geometry; space group = P2/m, No. 10; formation energy (no corrections) = -1.28 eV/atom; magnetic moment = 0.0 μB/cell; E = -7.09 eV/atom
1.0
4.171 0.000 0.000
0.000 7.333 -0.154
0.000 2.576 6.987
Th Se Pd As
4 2 1 1
Direct
0.500 0.255 0.747
0.000 0.738 0.759
0.000 0.262 0.241
0.500 0.745 0.253
0.000 0.000 0.000
0.500 0.000 0.500
0.500 0.500 0.000
0.000 0.500 0.500